1.
SrCaI2: optimized geometry, PBE.

Cell and atoms, written as extended XYZ:
```
12
Lattice="4.4289 0.0000 0.0000 -2.2144 3.8355 0.0000 0.0000 0.0000 33.3186" Properties=species:S:1:pos:R:3 pbc="T T T"
Sr 0.0000 0.0000 0.0000
Sr 0.0000 2.5570 22.2124
Sr 2.2144 1.2785 11.1062
Ca 0.0000 0.0000 16.6593
Ca 0.0000 2.5570 5.5531
Ca 2.2144 1.2785 27.7655
I 0.0000 0.0000 3.7063
I 0.0000 0.0000 29.6123
I 0.0000 2.5570 18.5060
I 0.0000 2.5570 25.9187
I 2.2144 1.2785 7.3999
I 2.2144 1.2785 14.8125
```

Results
Energy relative to the elements, uncorrected = -4.311 eV per formula unit
Crystal system = trigonal
ΔE to the lowest computed polymorph = 0 meV/atom
Volume = 566.0 Å³/cell
Space-group type = R-3m, No. 166

=====

2.
SrCaI4: optimized geometry, PBE.

Cell and atoms, written as extended XYZ:
```
6
Lattice="7.6152 0.0000 0.0000 0.0000 4.8265 0.0000 -0.0036 0.0000 7.6351" Properties=species:S:1:pos:R:3 pbc="T T T"
Sr 0.0000 0.0000 0.0000
Ca 3.8061 2.4133 3.8182
I 1.5838 2.4133 6.0825
I 2.3403 0.0000 2.3720
I 5.2735 0.0000 5.2656
I 6.0401 2.4133 1.5651
```

Results
Energy relative to the elements, uncorrected = -9.760 eV per formula unit
Crystal system = monoclinic
Volume = 280.6 Å³/cell
Space-group type = Pm, No. 6

=====

3.
SrCaI4: optimized geometry, PBE.

Cell and atoms, written as extended XYZ:
```
24
Lattice="8.0470 0.0000 0.0000 0.0000 16.2825 0.0000 -0.4133 0.0000 8.3404" Properties=species:S:1:pos:R:3 pbc="T T T"
Sr 0.8664 2.1969 3.1151
Sr 0.6598 5.9443 7.2853
Sr 6.9739 10.3382 1.0551
Sr 6.7673 14.0855 5.2253
Ca 2.1458 10.3074 6.2772
Ca 2.3524 14.1163 2.1070
Ca 5.2813 2.1661 6.2334
Ca 5.4879 5.9751 2.0632
I 0.8345 11.7404 3.6890
I 0.6278 12.6833 7.8592
I 1.9101 8.8108 0.5740
I 1.7035 15.6129 4.7443
I 2.0566 0.4569 0.6863
I 1.8499 7.6843 4.8565
I 2.5049 3.3958 5.8278
I 2.7116 4.7455 1.6576
I 4.9222 11.5370 6.6829
I 5.1288 12.8867 2.5126
I 5.7838 8.5982 3.4840
I 5.5771 15.8255 7.6542
I 5.9303 0.6696 3.5962
I 5.7236 7.4716 7.7664
I 7.0059 3.5992 0.4812
I 6.7992 4.5421 4.6514
```

Results
Energy relative to the elements, uncorrected = -9.474 eV per formula unit
Crystal system = monoclinic
Volume = 1092.8 Å³/cell
Space-group type = P2_1/c, No. 14

=====

4.
Sr2CaI6: optimized geometry, PBE.

Cell and atoms, written as extended XYZ:
```
18
Lattice="12.6520 -3.9618 0.0000 12.6520 3.9618 0.0000 -2.5197 0.0000 8.0695" Properties=species:S:1:pos:R:3 pbc="T T T"
Sr 6.1835 2.3922 6.5630
Sr 15.3410 2.3922 5.5412
Sr 7.4433 -2.3922 2.5282
Sr 16.6009 -2.3922 1.5065
Ca 12.0221 1.3224 2.0174
Ca 10.7623 -1.3224 6.0521
I 0.1338 0.2376 6.8146
I 1.3937 -0.2376 2.7799
I 6.6458 0.0035 0.1782
I 5.3859 -0.0035 4.2129
I 8.2573 0.0042 7.4835
I 9.5172 -0.0042 3.4488
I 13.2672 0.0042 4.6207
I 14.5271 -0.0042 0.5859
I 17.3984 0.0035 3.8566
I 16.1386 -0.0035 7.8913
I 21.3907 0.2376 5.2896
I 22.6505 -0.2376 1.2549
```

Results
Energy relative to the elements, uncorrected = -14.627 eV per formula unit
Crystal system = monoclinic
ΔE to the lowest computed polymorph = 51 meV/atom
Volume = 809.0 Å³/cell
Space-group type = C2/c, No. 15

=====

5.
Sr3CaI: optimized geometry, PBE.

Cell and atoms, written as extended XYZ:
```
5
Lattice="7.1326 0.0000 0.0000 0.0000 7.1326 0.0000 0.0000 0.0000 7.1326" Properties=species:S:1:pos:R:3 pbc="T T T"
Sr 0.0000 0.0000 3.5663
Sr 0.0000 3.5663 0.0000
Sr 3.5663 0.0000 0.0000
Ca 0.0000 0.0000 0.0000
I 3.5663 3.5663 3.5663
```

Results
Energy relative to the elements, uncorrected = 1.472 eV per formula unit
Crystal system = cubic
ΔE to the lowest computed polymorph = 495 meV/atom
Volume = 362.9 Å³/cell
Space-group type = Pm-3m, No. 221

=====

6.
Sr2CaI6: optimized geometry, PBE.

Cell and atoms, written as extended XYZ:
```
36
Lattice="7.3956 0.0000 0.0000 0.0000 27.5695 0.0000 0.0000 0.0000 8.1973" Properties=species:S:1:pos:R:3 pbc="T T T"
Sr 0.0000 1.3256 2.0493
Sr 0.0000 7.8686 6.1480
Sr 0.0000 19.7009 2.0493
Sr 0.0000 26.2439 6.1480
Sr 3.6978 5.9161 2.0493
Sr 3.6978 12.4592 6.1480
Sr 3.6978 15.1103 2.0493
Sr 3.6978 21.6534 6.1480
Ca 0.0000 10.4971 2.0493
Ca 0.0000 17.0724 6.1480
Ca 3.6978 3.2877 6.1480
Ca 3.6978 24.2818 2.0493
I 1.7749 10.2279 4.6408
I 1.7749 17.3416 0.5421
I 1.7818 8.2509 0.6882
I 1.7818 19.3185 4.7869
I 1.8471 1.0753 4.7906
I 1.8507 12.7095 0.6920
I 1.8507 14.8600 4.7906
I 1.8471 26.4942 0.6920
I 1.9160 5.5338 4.7869
I 1.9160 22.0357 0.6882
I 1.9229 3.5569 0.5421
I 1.9229 24.0126 4.6408
I 5.4727 3.5569 3.5565
I 5.4727 24.0126 7.6552
I 5.4796 5.5338 7.5091
I 5.4796 22.0357 3.4104
I 5.5485 1.0753 7.5053
I 5.5449 12.7095 3.4067
I 5.5449 14.8600 7.5053
I 5.5485 26.4942 3.4067
I 5.6138 8.2509 3.4104
I 5.6138 19.3185 7.5091
I 5.6207 10.2279 7.6552
I 5.6207 17.3416 3.5565
```

Results
Energy relative to the elements, uncorrected = -14.821 eV per formula unit
Crystal system = orthorhombic
ΔE to the lowest computed polymorph = 30 meV/atom
Volume = 1671.4 Å³/cell
Space-group type = Pbcn, No. 60

=====

7.
SrCaI4: optimized geometry, PBE.

Cell and atoms, written as extended XYZ:
```
12
Lattice="5.1561 -7.4400 0.0000 5.1561 7.4400 0.0000 -4.5321 0.0000 6.2757" Properties=species:S:1:pos:R:3 pbc="T T T"
Sr 1.7571 5.4171 4.7068
Sr 4.0231 -5.4171 1.5689
Ca 1.7571 0.0088 4.7068
Ca 4.0231 -0.0088 1.5689
I -1.3887 0.8700 4.8075
I 2.0283 2.6311 2.6215
I 0.8773 -0.8700 1.6697
I 6.0179 2.6311 0.5163
I -0.2377 -2.6311 5.7594
I 4.9029 0.8700 4.6060
I 3.7519 -2.6311 3.6541
I 7.1689 -0.8700 1.4682
```

Results
Energy relative to the elements, uncorrected = -9.440 eV per formula unit
Crystal system = monoclinic
Volume = 481.5 Å³/cell
Space-group type = C2/c, No. 15

=====

8.
SrCaI4: optimized geometry, PBE.

Cell and atoms, written as extended XYZ:
```
12
Lattice="-3.9751 3.9751 8.2620 3.9751 -3.9751 8.2620 3.9751 3.9751 -8.2620" Properties=species:S:1:pos:R:3 pbc="T T T"
Sr 0.0000 1.9875 2.0655
Sr 3.9751 1.9875 6.1965
Ca 3.9751 1.9875 -2.0655
Ca 0.0000 1.9875 10.3275
I 1.8914 0.3736 -0.4983
I 2.3611 0.0961 3.6326
I 2.3611 4.0712 -3.6326
I 2.0836 -0.3736 7.7636
I 1.8914 4.3487 0.4983
I 1.6139 -0.0961 11.8946
I 1.6139 3.8790 4.6293
I 2.0836 3.6015 8.7603
```

Results
Energy relative to the elements, uncorrected = -9.439 eV per formula unit
Crystal system = tetragonal
Volume = 522.2 Å³/cell
Space-group type = I4_1/a, No. 88

=====

- What is the formula in the third record?
  SrCaI4

=====

- What is the energy relative to the elements, uncorrected in the third record?
  -9.474 eV per formula unit